Entry 1:
A plane-wave DFT calculation with PBE was carried out for a geometry-optimized Sr2SbAs structure.

Calculated values
* uncorrected formation energy: -926.5 meV/atom
* crystal system: orthorhombic
* theoretical density: 4.7 g/cm³
* calculated total energy: -63.4 eV for the cell shown
* DOS at the Fermi energy: 5.49 states/eV/cell

Structure (CIF):
```
data_Sr2SbAs
_space_group_name_H-M_alt 'C m c m'
_space_group_IT_number 63
_space_group_name_Hall '-C 2c 2'
_cell_length_a 4.579
_cell_length_b 13.993
_cell_length_c 8.123
_cell_angle_alpha 90.00
_cell_angle_beta 90.00
_cell_angle_gamma 90.00
loop_
_atom_site_label
_atom_site_type_symbol
_atom_site_fract_x
_atom_site_fract_y
_atom_site_fract_z
Sr1 Sr 0.000 0.131 0.005
Sb1 Sb 0.000 0.493 0.250
As1 As 0.000 0.306 0.750
```

***

Entry 2:
A plane-wave DFT calculation with PBE was carried out for a geometry-optimized SrSb3As structure.

Calculated values
* uncorrected formation energy: 29.7 meV/atom
* crystal system: cubic
* theoretical density: 5.3 g/cm³
* calculated total energy: -18.5 eV for the cell shown
* offset from the most stable computed form: 0.000 eV per atom
* DOS at the Fermi energy: 5.70 states/eV/cell

Structure (CIF):
```
data_SrSb3As
_space_group_name_H-M_alt 'P m -3 m'
_space_group_IT_number 221
_space_group_name_Hall '-P 4 2 3'
_cell_length_a 5.473
_cell_length_b 5.473
_cell_length_c 5.473
_cell_angle_alpha 90.00
_cell_angle_beta 90.00
_cell_angle_gamma 90.00
loop_
_atom_site_label
_atom_site_type_symbol
_atom_site_fract_x
_atom_site_fract_y
_atom_site_fract_z
Sr1 Sr 0.000 0.000 0.000
Sb1 Sb 0.000 0.500 0.500
As1 As 0.500 0.500 0.500
```